Entry 1:
A relaxed structure of KCrIr2, computed with GGA-PBE.

V = 17.3 Å³ per atom
DFT formation energy = 743 meV/atom
E_tot = -6.367 eV/atom
Relative energy among the computed polymorphs = 39.8 kJ/mol of atoms
Total magnetization = 6.67 μB per cell

Cell and atoms, written as CIF:
```
data_KCrIr2
_chemical_formula_sum 'K2 Cr2 Ir4'
_space_group_name_H-M_alt 'P 1'
_space_group_IT_number 1
_cell_length_a 2.797
_cell_length_b 4.957
_cell_length_c 9.978
_cell_angle_alpha 90.00
_cell_angle_beta 90.00
_cell_angle_gamma 90.00
loop_
_space_group_symop_operation_xyz
'x,y,z'
loop_
_atom_site_label
_atom_site_type_symbol
_atom_site_fract_x
_atom_site_fract_y
_atom_site_fract_z
_atom_site_occupancy
K1 K 0.000 0.000 0.000 1
K2 K 0.500 0.500 0.500 1
Cr1 Cr 0.000 0.000 0.500 1
Cr2 Cr 0.500 0.500 0.000 1
Ir1 Ir 0.000 0.500 0.219 1
Ir2 Ir 0.000 0.500 0.781 1
Ir3 Ir 0.500 0.000 0.281 1
Ir4 Ir 0.500 0.000 0.719 1
```

Entry 2:
A relaxed structure of Sm4Ga2Ir, computed with GGA-PBE.

V = 25.9 Å³ per atom
DFT formation energy = -522 meV/atom
E_tot = -5.349 eV/atom
Total magnetization = 0.00 μB per cell

Cell and atoms, written as CIF:
```
data_Sm4Ga2Ir
_chemical_formula_sum 'Sm8 Ga4 Ir2'
_space_group_name_H-M_alt 'P 1'
_space_group_IT_number 1
_cell_length_a 15.299
_cell_length_b 5.002
_cell_length_c 5.005
_cell_angle_alpha 90.00
_cell_angle_beta 108.82
_cell_angle_gamma 90.00
loop_
_space_group_symop_operation_xyz
'x,y,z'
loop_
_atom_site_label
_atom_site_type_symbol
_atom_site_fract_x
_atom_site_fract_y
_atom_site_fract_z
_atom_site_occupancy
Sm1 Sm 0.118 0.000 0.120 1
Sm2 Sm 0.118 0.500 0.621 1
Sm3 Sm 0.382 0.000 0.379 1
Sm4 Sm 0.382 0.500 0.880 1
Sm5 Sm 0.618 0.000 0.621 1
Sm6 Sm 0.618 0.500 0.120 1
Sm7 Sm 0.882 0.000 0.880 1
Sm8 Sm 0.882 0.500 0.379 1
Ga1 Ga 0.243 0.500 0.245 1
Ga2 Ga 0.257 0.000 0.755 1
Ga3 Ga 0.743 0.000 0.245 1
Ga4 Ga 0.757 0.500 0.755 1
Ir1 Ir 0.000 0.000 0.500 1
Ir2 Ir 0.500 0.500 0.500 1
```

Entry 3:
A relaxed structure of LiAl2Mo, computed with GGA-PBE.

V = 14.9 Å³ per atom
DFT formation energy = 192 meV/atom
E_tot = -4.866 eV/atom
Relative energy among the computed polymorphs = 36.9 kJ/mol of atoms
Total magnetization = 0.34 μB per cell

Cell and atoms, written as CIF:
```
data_LiAl2Mo
_chemical_formula_sum 'Li1 Al2 Mo1'
_space_group_name_H-M_alt 'P 1'
_space_group_IT_number 1
_cell_length_a 3.060
_cell_length_b 3.060
_cell_length_c 6.383
_cell_angle_alpha 90.00
_cell_angle_beta 90.00
_cell_angle_gamma 90.00
loop_
_space_group_symop_operation_xyz
'x,y,z'
loop_
_atom_site_label
_atom_site_type_symbol
_atom_site_fract_x
_atom_site_fract_y
_atom_site_fract_z
_atom_site_occupancy
Li1 Li 0.000 0.000 0.000 1
Al1 Al 0.000 0.000 0.507 1
Al2 Al 0.500 0.500 0.788 1
Mo1 Mo 0.500 0.500 0.257 1
```

Entry 4:
A relaxed structure of Ce6CS2I3, computed with GGA-PBE.

V = 26.8 Å³ per atom
E_tot = -5.978 eV/atom
Formation energy without anion corrections = -112.6 kJ/mol of atoms
Total magnetization = 6.39 μB per cell

Cell and atoms, written as CIF:
```
data_Ce6CS2I3
_chemical_formula_sum 'Ce6 C1 S2 I3'
_space_group_name_H-M_alt 'P 1'
_space_group_IT_number 1
_cell_length_a 6.980
_cell_length_b 6.980
_cell_length_c 7.978
_cell_angle_alpha 98.39
_cell_angle_beta 98.39
_cell_angle_gamma 120.03
loop_
_space_group_symop_operation_xyz
'x,y,z'
loop_
_atom_site_label
_atom_site_type_symbol
_atom_site_fract_x
_atom_site_fract_y
_atom_site_fract_z
_atom_site_occupancy
Ce1 Ce 0.062 0.371 0.185 1
Ce2 Ce 0.247 0.247 0.813 1
Ce3 Ce 0.371 0.062 0.185 1
Ce4 Ce 0.629 0.938 0.815 1
Ce5 Ce 0.753 0.753 0.187 1
Ce6 Ce 0.938 0.629 0.815 1
C1 C 0.000 0.000 0.000 1
S1 S 0.334 0.666 0.000 1
S2 S 0.666 0.334 0.000 1
I1 I 0.172 0.828 0.500 1
I2 I 0.500 0.500 0.500 1
I3 I 0.828 0.172 0.500 1
```

Entry 5:
A relaxed structure of Ca3TiH, computed with GGA-PBE.

V = 25.8 Å³ per atom
E_tot = -3.287 eV/atom
Relative energy among the computed polymorphs = 0.0 kJ/mol of atoms
Total magnetization = 3.06 μB per cell

Cell and atoms, written as CIF:
```
data_Ca3TiH
_chemical_formula_sum 'Ca3 Ti1 H1'
_space_group_name_H-M_alt 'P 1'
_space_group_IT_number 1
_cell_length_a 5.053
_cell_length_b 5.053
_cell_length_c 5.053
_cell_angle_alpha 90.00
_cell_angle_beta 90.00
_cell_angle_gamma 90.00
loop_
_space_group_symop_operation_xyz
'x,y,z'
loop_
_atom_site_label
_atom_site_type_symbol
_atom_site_fract_x
_atom_site_fract_y
_atom_site_fract_z
_atom_site_occupancy
Ca1 Ca 0.000 0.000 0.500 1
Ca2 Ca 0.000 0.500 0.000 1
Ca3 Ca 0.500 0.000 0.000 1
Ti1 Ti 0.500 0.500 0.500 1
H1 H 0.000 0.000 0.000 1
```

Entry 6:
A relaxed structure of BeSnSb2Os, computed with GGA-PBE.

V = 26.9 Å³ per atom
E_tot = -3.676 eV/atom
Formation energy without anion corrections = 170.3 kJ/mol of atoms
Total magnetization = 2.15 μB per cell

Cell and atoms, written as CIF:
```
data_BeSnSb2Os
_chemical_formula_sum 'Be1 Sn1 Sb2 Os1'
_space_group_name_H-M_alt 'P 1'
_space_group_IT_number 1
_cell_length_a 5.620
_cell_length_b 5.620
_cell_length_c 4.263
_cell_angle_alpha 90.00
_cell_angle_beta 90.00
_cell_angle_gamma 90.00
loop_
_space_group_symop_operation_xyz
'x,y,z'
loop_
_atom_site_label
_atom_site_type_symbol
_atom_site_fract_x
_atom_site_fract_y
_atom_site_fract_z
_atom_site_occupancy
Be1 Be 0.000 0.000 0.000 1
Sn1 Sn 0.000 0.000 0.500 1
Sb1 Sb 0.000 0.500 0.500 1
Sb2 Sb 0.500 0.000 0.500 1
Os1 Os 0.500 0.500 0.000 1
```

Entry 7:
A relaxed structure of SmYPt4, computed with GGA-PBE.

V = 19.2 Å³ per atom
DFT formation energy = -1099 meV/atom
E_tot = -6.990 eV/atom
Total magnetization = 0.00 μB per cell

Cell and atoms, written as CIF:
```
data_SmYPt4
_chemical_formula_sum 'Sm1 Y1 Pt4'
_space_group_name_H-M_alt 'P 1'
_space_group_IT_number 1
_cell_length_a 5.465
_cell_length_b 5.465
_cell_length_c 5.465
_cell_angle_alpha 60.00
_cell_angle_beta 60.00
_cell_angle_gamma 60.00
loop_
_space_group_symop_operation_xyz
'x,y,z'
loop_
_atom_site_label
_atom_site_type_symbol
_atom_site_fract_x
_atom_site_fract_y
_atom_site_fract_z
_atom_site_occupancy
Sm1 Sm 0.000 0.000 0.000 1
Y1 Y 0.250 0.250 0.250 1
Pt1 Pt 0.125 0.625 0.625 1
Pt2 Pt 0.625 0.125 0.625 1
Pt3 Pt 0.625 0.625 0.125 1
Pt4 Pt 0.625 0.625 0.625 1
```

Entry 8:
A relaxed structure of Mn2AsIr, computed with GGA-PBE.

V = 14.5 Å³ per atom
DFT formation energy = 52 meV/atom
E_tot = -7.910 eV/atom
Total magnetization = 14.66 μB per cell

Cell and atoms, written as CIF:
```
data_Mn2AsIr
_chemical_formula_sum 'Mn4 As2 Ir2'
_space_group_name_H-M_alt 'P 1'
_space_group_IT_number 1
_cell_length_a 3.885
_cell_length_b 3.885
_cell_length_c 7.708
_cell_angle_alpha 90.00
_cell_angle_beta 90.00
_cell_angle_gamma 90.00
loop_
_space_group_symop_operation_xyz
'x,y,z'
loop_
_atom_site_label
_atom_site_type_symbol
_atom_site_fract_x
_atom_site_fract_y
_atom_site_fract_z
_atom_site_occupancy
Mn1 Mn 0.000 0.500 0.250 1
Mn2 Mn 0.000 0.500 0.750 1
Mn3 Mn 0.500 0.000 0.250 1
Mn4 Mn 0.500 0.000 0.750 1
As1 As 0.000 0.000 0.000 1
As2 As 0.500 0.500 0.500 1
Ir1 Ir 0.000 0.000 0.500 1
Ir2 Ir 0.500 0.500 0.000 1
```

Entry 9:
A relaxed structure of Tb3SmRu, computed with GGA-PBE.

V = 29.4 Å³ per atom
DFT formation energy = -141 meV/atom
E_tot = -5.718 eV/atom
Relative energy among the computed polymorphs = 0.0 kJ/mol of atoms
Total magnetization = 0.00 μB per cell

Cell and atoms, written as CIF:
```
data_Tb3SmRu
_chemical_formula_sum 'Tb6 Sm2 Ru2'
_space_group_name_H-M_alt 'P 1'
_space_group_IT_number 1
_cell_length_a 5.771
_cell_length_b 8.840
_cell_length_c 5.856
_cell_angle_alpha 90.00
_cell_angle_beta 99.80
_cell_angle_gamma 90.00
loop_
_space_group_symop_operation_xyz
'x,y,z'
loop_
_atom_site_label
_atom_site_type_symbol
_atom_site_fract_x
_atom_site_fract_y
_atom_site_fract_z
_atom_site_occupancy
Tb1 Tb 0.170 0.250 0.258 1
Tb2 Tb 0.283 0.033 0.783 1
Tb3 Tb 0.283 0.467 0.783 1
Tb4 Tb 0.717 0.533 0.217 1
Tb5 Tb 0.717 0.967 0.217 1
Tb6 Tb 0.830 0.750 0.742 1
Sm1 Sm 0.240 0.750 0.340 1
Sm2 Sm 0.760 0.250 0.660 1
Ru1 Ru 0.412 0.750 0.918 1
Ru2 Ru 0.588 0.250 0.082 1
```

Entry 10:
A relaxed structure of Ta4ReSi, computed with GGA-PBE.

V = 17.7 Å³ per atom
E_tot = -10.344 eV/atom
Formation energy without anion corrections = 51.8 kJ/mol of atoms
Total magnetization = 0.06 μB per cell

Cell and atoms, written as CIF:
```
data_Ta4ReSi
_chemical_formula_sum 'Ta4 Re1 Si1'
_space_group_name_H-M_alt 'P 1'
_space_group_IT_number 1
_cell_length_a 5.313
_cell_length_b 5.313
_cell_length_c 5.313
_cell_angle_alpha 60.00
_cell_angle_beta 60.00
_cell_angle_gamma 60.00
loop_
_space_group_symop_operation_xyz
'x,y,z'
loop_
_atom_site_label
_atom_site_type_symbol
_atom_site_fract_x
_atom_site_fract_y
_atom_site_fract_z
_atom_site_occupancy
Ta1 Ta 0.125 0.125 0.125 1
Ta2 Ta 0.125 0.125 0.624 1
Ta3 Ta 0.125 0.624 0.125 1
Ta4 Ta 0.624 0.125 0.125 1
Re1 Re 0.750 0.750 0.750 1
Si1 Si 0.500 0.500 0.500 1
```

Entry 11:
A relaxed structure of Ir2CF, computed with GGA-PBE.

V = 10.9 Å³ per atom
E_tot = -6.127 eV/atom
Relative energy among the computed polymorphs = 62.1 kJ/mol of atoms
Formation energy without anion corrections = 103.9 kJ/mol of atoms
Total magnetization = 0.00 μB per cell

Cell and atoms, written as CIF:
```
data_Ir2CF
_chemical_formula_sum 'Ir8 C4 F4'
_space_group_name_H-M_alt 'P 1'
_space_group_IT_number 1
_cell_length_a 5.583
_cell_length_b 5.583
_cell_length_c 5.583
_cell_angle_alpha 90.00
_cell_angle_beta 90.00
_cell_angle_gamma 90.00
loop_
_space_group_symop_operation_xyz
'x,y,z'
loop_
_atom_site_label
_atom_site_type_symbol
_atom_site_fract_x
_atom_site_fract_y
_atom_site_fract_z
_atom_site_occupancy
Ir1 Ir 0.250 0.250 0.250 1
Ir2 Ir 0.250 0.250 0.750 1
Ir3 Ir 0.250 0.750 0.250 1
Ir4 Ir 0.250 0.750 0.750 1
Ir5 Ir 0.750 0.250 0.250 1
Ir6 Ir 0.750 0.250 0.750 1
Ir7 Ir 0.750 0.750 0.250 1
Ir8 Ir 0.750 0.750 0.750 1
C1 C 0.000 0.000 0.000 1
C2 C 0.000 0.500 0.500 1
C3 C 0.500 0.000 0.500 1
C4 C 0.500 0.500 0.000 1
F1 F 0.000 0.000 0.500 1
F2 F 0.000 0.500 0.000 1
F3 F 0.500 0.000 0.000 1
F4 F 0.500 0.500 0.500 1
```

Entry 12:
A relaxed structure of Zr3GaBi, computed with GGA-PBE.

V = 25.7 Å³ per atom
DFT formation energy = 192 meV/atom
E_tot = -6.319 eV/atom
Relative energy among the computed polymorphs = 53.6 kJ/mol of atoms
Total magnetization = 0.00 μB per cell

Cell and atoms, written as CIF:
```
data_Zr3GaBi
_chemical_formula_sum 'Zr3 Ga1 Bi1'
_space_group_name_H-M_alt 'P 1'
_space_group_IT_number 1
_cell_length_a 5.049
_cell_length_b 5.049
_cell_length_c 5.049
_cell_angle_alpha 90.00
_cell_angle_beta 90.00
_cell_angle_gamma 90.00
loop_
_space_group_symop_operation_xyz
'x,y,z'
loop_
_atom_site_label
_atom_site_type_symbol
_atom_site_fract_x
_atom_site_fract_y
_atom_site_fract_z
_atom_site_occupancy
Zr1 Zr 0.000 0.000 0.500 1
Zr2 Zr 0.000 0.500 0.000 1
Zr3 Zr 0.500 0.000 0.000 1
Ga1 Ga 0.000 0.000 0.000 1
Bi1 Bi 0.500 0.500 0.500 1
```

Entry 13:
A relaxed structure of YErTm, computed with GGA-PBE.

V = 30.9 Å³ per atom
DFT formation energy = 28 meV/atom
E_tot = -5.138 eV/atom
Relative energy among the computed polymorphs = 0.0 kJ/mol of atoms
Total magnetization = 0.00 μB per cell

Cell and atoms, written as CIF:
```
data_YErTm
_chemical_formula_sum 'Y2 Er2 Tm2'
_space_group_name_H-M_alt 'P 1'
_space_group_IT_number 1
_cell_length_a 3.518
_cell_length_b 3.518
_cell_length_c 14.989
_cell_angle_alpha 90.00
_cell_angle_beta 90.00
_cell_angle_gamma 90.00
loop_
_space_group_symop_operation_xyz
'x,y,z'
loop_
_atom_site_label
_atom_site_type_symbol
_atom_site_fract_x
_atom_site_fract_y
_atom_site_fract_z
_atom_site_occupancy
Y1 Y 0.000 0.000 0.000 1
Y2 Y 0.500 0.500 0.500 1
Er1 Er 0.000 0.000 0.332 1
Er2 Er 0.500 0.500 0.832 1
Tm1 Tm 0.000 0.000 0.668 1
Tm2 Tm 0.500 0.500 0.168 1
```